Here is a relaxed structure of CsErPd from the Open Quantum Materials Database. Energies are from GGA-PBE.

Cell and atoms, written as CIF:
```
data_CsErPd
_cell_length_a 4.9923
_cell_length_b 4.9923
_cell_length_c 4.9923
_cell_angle_alpha 60.00
_cell_angle_beta 60.00
_cell_angle_gamma 60.00
_symmetry_space_group_name_H-M 'P 1'
_symmetry_Int_Tables_number 1
_symmetry_space_group_name_Hall 'P 1'
loop_
_atom_site_label
_atom_site_fract_x
_atom_site_fract_y
_atom_site_fract_z
Cs1 0.0000 0.0000 0.0000
Er1 0.7500 0.7500 0.7500
Pd1 0.2500 0.2500 0.2500
```

Summary:
VASP energy ... -2.52 eV/atom
Energy above the lowest structure with this stoichiometry ... 406 meV per atom
V ... 88 Å³/f.u.



Here is a relaxed structure of CsErPd from the Open Quantum Materials Database. Energies are from GGA-PBE.

Cell and atoms, written as CIF:
```
data_CsErPd
_cell_length_a 5.0636
_cell_length_b 5.0636
_cell_length_c 5.0636
_cell_angle_alpha 60.00
_cell_angle_beta 60.00
_cell_angle_gamma 60.00
_symmetry_space_group_name_H-M 'P 1'
_symmetry_Int_Tables_number 1
_symmetry_space_group_name_Hall 'P 1'
loop_
_atom_site_label
_atom_site_fract_x
_atom_site_fract_y
_atom_site_fract_z
Cs1 0.2500 0.2500 0.2500
Er1 0.0000 0.0000 0.0000
Pd1 0.7500 0.7500 0.7500
```

Summary:
VASP energy ... -2.93 eV/atom
Energy above the lowest structure with this stoichiometry ... 0 meV per atom
V ... 92 Å³/f.u.



Here is a relaxed structure of CsErPdSe3 from the Open Quantum Materials Database. Energies are from GGA-PBE.

Cell and atoms, written as CIF:
```
data_CsErPdSe3
_cell_length_a 8.8870
_cell_length_b 8.8870
_cell_length_c 9.8601
_cell_angle_alpha 90.00
_cell_angle_beta 90.00
_cell_angle_gamma 152.38
_symmetry_space_group_name_H-M 'P 1'
_symmetry_Int_Tables_number 1
_symmetry_space_group_name_Hall 'P 1'
loop_
_atom_site_label
_atom_site_fract_x
_atom_site_fract_y
_atom_site_fract_z
Cs1 0.2464 0.7536 0.2500
Cs2 0.7536 0.2464 0.7500
Er1 0.0000 0.0000 0.0000
Er2 0.0000 0.0000 0.5000
Pd1 0.5013 0.4987 0.2500
Pd2 0.4987 0.5013 0.7500
Se1 0.6042 0.3958 0.0736
Se2 0.9147 0.0853 0.2500
Se3 0.6042 0.3958 0.4264
Se4 0.3958 0.6042 0.5736
Se5 0.0853 0.9147 0.7500
Se6 0.3958 0.6042 0.9264
```

Summary:
VASP energy ... -4.68 eV/atom
V ... 181 Å³/f.u.



Here is a relaxed structure of CsErPdSe3 from the Open Quantum Materials Database. Energies are from GGA-PBE.

Cell and atoms, written as CIF:
```
data_CsErPdSe3
_cell_length_a 9.5365
_cell_length_b 4.1639
_cell_length_c 10.1956
_cell_angle_alpha 90.00
_cell_angle_beta 113.01
_cell_angle_gamma 90.00
_symmetry_space_group_name_H-M 'P 1'
_symmetry_Int_Tables_number 1
_symmetry_space_group_name_Hall 'P 1'
loop_
_atom_site_label
_atom_site_fract_x
_atom_site_fract_y
_atom_site_fract_z
Cs1 0.2227 0.7500 0.2494
Cs2 0.7773 0.2500 0.7506
Er1 0.6776 0.7500 0.1359
Er2 0.3224 0.2500 0.8641
Pd1 0.9179 0.2500 0.4051
Pd2 0.0821 0.7500 0.5949
Se1 0.8812 0.2500 0.1370
Se2 0.4801 0.2500 0.1596
Se3 0.7975 0.7500 0.4483
Se4 0.2025 0.2500 0.5517
Se5 0.5199 0.7500 0.8404
Se6 0.1188 0.7500 0.8630
```

Summary:
VASP energy ... -4.67 eV/atom
V ... 186 Å³/f.u.



Among the records above, which one has the lowest VASP energy?
number 3